Compound: Hg24Pb5
Source: Alexandria via LeMat-Bulk
Functional: SCAN
Structure: PBEsol geometry

Calculated values
* ΔE_f: 0.0597 eV per atom
* space-group type: I-43m, No. 217
* calculated volume: 696.93 Å³/f.u.
* electronic total energy: -69.419 eV/atom

Lattice parameters (Å, degrees): 9.6739 9.6739 9.6739 109.47 109.47 109.47
Last column: nearest neighbours and their distance in Å.
Positions (direct):
Hg 0.6173 0.8100 0.6173  8 Hg 2.95-3.23
Hg 0.8074 0.1900 0.8074  8 Hg 2.95-3.23
Hg 0.1926 0.0000 0.3827  8 Hg 2.95-3.23
Hg 0.3827 0.0000 0.1926  8 Hg 2.95-3.23
Hg 0.8100 0.6173 0.6173  8 Hg 2.95-3.23
Hg 0.1900 0.8074 0.8074  8 Hg 2.95-3.23
Hg 0.0000 0.3827 0.1926  8 Hg 2.95-3.23
Hg 0.0000 0.1926 0.3827  8 Hg 2.95-3.23
Hg 0.6173 0.6173 0.8100  8 Hg 2.95-3.23
Hg 0.8074 0.8074 0.1900  8 Hg 2.95-3.23
Hg 0.3827 0.1926 0.0000  8 Hg 2.95-3.23
Hg 0.1926 0.3827 0.0000  8 Hg 2.95-3.23
Hg 0.5916 0.2738 0.5916  7 Hg 2.95-3.23, 1 Pb 3.16
Hg 0.3179 0.7262 0.3179  7 Hg 2.95-3.23, 1 Pb 3.16
Hg 0.6821 0.0000 0.4084  7 Hg 2.95-3.23, 1 Pb 3.16
Hg 0.4084 0.0000 0.6821  7 Hg 2.95-3.23, 1 Pb 3.16
Hg 0.2738 0.5916 0.5916  7 Hg 2.95-3.23, 1 Pb 3.16
Hg 0.7262 0.3179 0.3179  7 Hg 2.95-3.23, 1 Pb 3.16
Hg 0.0000 0.4084 0.6821  7 Hg 2.95-3.23, 1 Pb 3.16
Hg 0.0000 0.6821 0.4084  7 Hg 2.95-3.23, 1 Pb 3.16
Hg 0.5916 0.5916 0.2738  7 Hg 2.95-3.23, 1 Pb 3.16
Hg 0.3179 0.3179 0.7262  7 Hg 2.95-3.23, 1 Pb 3.16
Hg 0.4084 0.6821 0.0000  7 Hg 2.95-3.23, 1 Pb 3.16
Hg 0.6821 0.4084 0.0000  7 Hg 2.95-3.23, 1 Pb 3.16
Pb 0.3560 0.3560 0.3560  9 Hg 3.16-3.41, 1 Pb 3.44
Pb 0.0000 0.6440 0.0000  9 Hg 3.16-3.41, 1 Pb 3.44
Pb 0.0000 0.0000 0.6440  9 Hg 3.16-3.41, 1 Pb 3.44
Pb 0.6440 0.0000 0.0000  9 Hg 3.16-3.41, 1 Pb 3.44
Pb 0.0000 0.0000 0.0000  4 Pb 3.44, 12 Hg 3.55